# 1
Entry from Alexandria: a geometry-optimized Pm4Sm5Mg structure (PBE-GGA).

Cell and atoms, written as POSCAR:
```
Pm4Sm5Mg
1.0
-2.9312 -1.7863 -4.8312
1.0440 -7.9710 -1.3212
-7.5652 -2.3977 1.8415
Pm Sm Mg
4 5 1
Cartesian
-6.1811 -5.0018 -1.4069
-6.7367 -8.4622 -3.4254
-2.5031 -3.5633 -0.5353
-3.0587 -7.0237 -2.5538
-1.8570 -4.3277 -4.1901
-5.1578 -1.7524 0.4954
-4.0097 -10.2291 -4.3370
-7.3106 -7.6537 0.3485
-1.9426 -1.1839 -3.2019
-0.5478 -0.3339 -0.9029
```

Values from the calculation:
DOS at the Fermi energy	11.57	states/eV/f.u.
crystal system	tetragonal
formation energy from the elements	0.178	eV/atom
total DFT energy (no corrections)	-4.24	eV/atom

***

# 2
Entry from Alexandria: a geometry-optimized SrCeTe2 structure (PBE-GGA).

Cell and atoms, written as POSCAR:
```
SrCeTe2
1.0
6.5277 0.0000 0.0000
0.0000 6.5277 0.0000
-3.2639 -3.2639 6.5383
Sr Ce Te
2 2 4
Cartesian
3.2639 3.2639 0.0000
0.0000 3.2639 3.2692
3.2639 0.0000 3.2692
0.0000 0.0000 0.0000
3.2639 3.2639 3.3133
3.2639 0.0000 0.0441
0.0000 0.0000 3.2250
3.2639 0.0000 6.4942
```

Values from the calculation:
DOS at the Fermi energy	8.88	states/eV/f.u.
crystal system	tetragonal
formation energy (no corrections)	-1489	meV per atom
total DFT energy (no corrections)	-4.96	eV/atom

***

# 3
Entry from Alexandria: a geometry-optimized CaZr2Pd2 structure (PBE-GGA).

Cell and atoms, written as POSCAR:
```
CaZr2Pd2
1.0
4.6409 0.0000 0.0000
0.0000 4.6409 0.0000
2.3204 2.3204 5.4757
Ca Zr Pd
1 2 2
Cartesian
0.0000 0.0000 0.0000
4.6409 2.3204 2.7379
2.3204 4.6409 2.7379
2.3204 2.3204 1.3198
4.6409 4.6409 4.1559
```

Values from the calculation:
DOS at the Fermi energy	2.00	states/eV/f.u.
crystal system	tetragonal
formation energy from the elements	-0.407	eV/atom
total DFT energy (no corrections)	-6.30	eV/atom

***

# 4
Entry from Alexandria: a geometry-optimized NaCeZn2Ge2 structure (PBE-GGA).

Cell and atoms, written as POSCAR:
```
NaCeZn2Ge2
1.0
-2.6052 0.6823 3.3969
-1.2856 -2.5866 -3.2324
3.1745 -6.1690 3.6738
Na Ce Zn Ge
1 1 2 2
Cartesian
1.5872 -3.0845 1.8369
0.0000 0.0000 0.0000
0.6426 -6.0989 1.7180
-1.3590 -1.9743 2.1203
-0.9979 -2.9109 -0.1806
0.2815 -5.1624 4.0189
```

Values from the calculation:
DOS at the Fermi energy	4.69	states/eV/f.u.
crystal system	trigonal
formation energy from the elements	-0.385	eV/atom
total DFT energy (no corrections)	-3.56	eV/atom